No. 1
VASP calculation (GGA-PBEsol) on crystalline Hf3FeMo at its relaxed geometry.

Calculated values
Symmetry ... Pm-3m
Formation energy ... 1.250 eV per atom

a b c (Å): 4.8876 4.8876 4.8876
angles (deg): 90.00 90.00 90.00
With the nearest neighbours (Å) after each atom.
Fractional positions:
Hf: 0.0000 0.0000 0.5000  2 Mo 2.44
Hf: 0.0000 0.5000 0.0000  2 Mo 2.44
Hf: 0.5000 0.0000 0.0000  2 Mo 2.44
Fe: 0.5000 0.5000 0.5000  12 Hf 3.46
Mo: 0.0000 0.0000 0.0000  6 Hf 2.44


No. 2
VASP calculation (GGA-PBEsol) on crystalline HfFeMoO2 at its relaxed geometry.

Calculated values
Symmetry ... P4/mmm

a b c (Å): 3.7859 3.7859 4.5203
angles (deg): 90.00 90.00 90.00
With the nearest neighbours (Å) after each atom.
Fractional positions:
Hf: 0.0000 0.0000 0.0000  4 Mo 2.68, 8 O 2.95
Fe: 0.5000 0.5000 0.5000  4 O 1.89
Mo: 0.5000 0.5000 0.0000  2 Fe 2.26
O: 0.0000 0.5000 0.5000  2 Fe 1.89
O: 0.5000 0.0000 0.5000  2 Fe 1.89


No. 3
VASP calculation (GGA-PBEsol) on crystalline HfFe2SbMo at its relaxed geometry.

Calculated values
Symmetry ... P4/mmm

a b c (Å): 4.3545 4.3545 5.0310
angles (deg): 90.00 90.00 90.00
With the nearest neighbours (Å) after each atom.
Fractional positions:
Hf: 0.0000 0.0000 0.0000  4 Sb 3.08, 8 Fe 3.33
Fe: 0.0000 0.5000 0.5000  2 Mo 2.18
Fe: 0.5000 0.0000 0.5000  2 Mo 2.18
Sb: 0.5000 0.5000 0.0000  2 Mo 2.52
Mo: 0.5000 0.5000 0.5000  4 Fe 2.18


No. 4
VASP calculation (GGA-PBEsol) on crystalline HfFeN2 at its relaxed geometry.

Calculated values
Symmetry ... P6_3/mmc

a b c (Å): 3.0665 3.0665 9.2031
angles (deg): 90.00 90.00 120.00
With the nearest neighbours (Å) after each atom.
Fractional positions:
Hf: 0.3333 0.6667 0.2500  6 N 2.21
Hf: 0.6667 0.3333 0.7500  6 N 2.21
Fe: 0.0000 0.0000 0.0000  6 N 2.02
Fe: 0.0000 0.0000 0.5000  6 N 2.02
N: 0.3333 0.6667 0.6056  3 Fe 2.02, 3 Hf 2.21
N: 0.3333 0.6667 0.8944  3 Fe 2.02, 3 Hf 2.21
N: 0.6667 0.3333 0.1056  3 Fe 2.02, 3 Hf 2.21
N: 0.6667 0.3333 0.3944  3 Fe 2.02, 3 Hf 2.21


No. 5
VASP calculation (GGA-PBEsol) on crystalline Hf3FeN at its relaxed geometry.

Calculated values
Symmetry ... Pm-3m

a b c (Å): 4.6284 4.6284 4.6284
angles (deg): 90.00 90.00 90.00
With the nearest neighbours (Å) after each atom.
Fractional positions:
Hf: 0.0000 0.0000 0.5000  2 Fe 2.31
Hf: 0.0000 0.5000 0.0000  2 Fe 2.31
Hf: 0.5000 0.0000 0.0000  2 Fe 2.31
Fe: 0.0000 0.0000 0.0000  6 Hf 2.31
N: 0.5000 0.5000 0.5000  12 Hf 3.27


No. 6
VASP calculation (GGA-PBEsol) on crystalline HfFeTeN2 at its relaxed geometry.

Calculated values
Symmetry ... P4/mmm

a b c (Å): 3.8451 3.8451 4.8472
angles (deg): 90.00 90.00 90.00
With the nearest neighbours (Å) after each atom.
Fractional positions:
Hf: 0.0000 0.0000 0.0000  4 Te 2.72
Fe: 0.5000 0.5000 0.5000  4 N 1.92
Te: 0.5000 0.5000 0.0000  2 Fe 2.42
N: 0.0000 0.5000 0.5000  2 Fe 1.92
N: 0.5000 0.0000 0.5000  2 Fe 1.92


For reference, uncorrected energy by record: -9.198, -8.365, -7.872, -10.009, -8.757, -7.302 eV per atom.
For reference, total moment by record: 2.45, 1.48, 2.44, 0.00, 0.00, 1.56 μB/f.u..